Record 1
The following is a DFT calculation (PBE) of a geometry-optimized Y2MgRu structure.

Cell and atoms, written as POSCAR:
```
Y2MgRu
1.0
4.654 0.000 0.000
0.000 1.820 5.618
0.000 -1.820 5.618
Y Mg Ru
2 1 1
direct
0.000 0.000 0.000 Y
0.500 0.299 0.299 Y
0.500 0.585 0.585 Mg
0.000 0.716 0.716 Ru
```

Results
Space-group type   No. 38
ΔE_f   -0.080 eV per atom


Record 2
The following is a DFT calculation (PBE) of a geometry-optimized WSe3Br structure.

Cell and atoms, written as POSCAR:
```
WSe3Br
1.0
4.944 0.000 0.000
0.000 4.944 0.000
0.000 0.000 4.944
W Se Br
1 3 1
direct
0.000 0.000 0.000 W
0.000 0.000 0.500 Se
0.000 0.500 0.000 Se
0.500 0.000 0.000 Se
0.500 0.500 0.500 Br
```

Results
Uncorrected formation energy   0.227 eV/atom
Energy relative to the lowest polymorph listed for this composition   0.260 eV per atom
Space-group type   No. 221